[1]
# PBE LiCe2Ga3Ni4, relaxed
# - Space-group type: P-4m2 (115)
# - E_form: -0.44 eV/atom
data_LiCe2Ga3Ni4
_chemical_formula_sum 'Li1 Ce2 Ga3 Ni4'
_symmetry_space_group_name_H-M 'P 1'
_symmetry_Int_Tables_number 1
_cell_length_a 3.866
_cell_length_b 3.866
_cell_length_c 11.124
_cell_angle_alpha 90.00
_cell_angle_beta 90.00
_cell_angle_gamma 90.00
loop_
_symmetry_equiv_pos_as_xyz
'x,y,z'
loop_
_atom_site_label
_atom_site_type_symbol
_atom_site_fract_x
_atom_site_fract_y
_atom_site_fract_z
_atom_site_occupancy
Ga1 Ga 0.500 0.000 0.874 1
Ga2 Ga 0.000 0.000 0.500 1
Ga3 Ga 0.000 0.500 0.126 1
Ni1 Ni 0.500 0.000 0.652 1
Ni2 Ni 0.000 0.000 0.000 1
Ni3 Ni 0.500 0.500 0.000 1
Ni4 Ni 0.000 0.500 0.348 1
Li1 Li 0.500 0.500 0.500 1
Ce1 Ce 0.000 0.500 0.744 1
Ce2 Ce 0.500 0.000 0.256 1

[2]
# PBE LiCeGaNi, relaxed
# - Space-group type: F-43m (216)
# - E_form: -0.37 eV/atom
data_LiCeGaNi
_chemical_formula_sum 'Li1 Ce1 Ga1 Ni1'
_symmetry_space_group_name_H-M 'P 1'
_symmetry_Int_Tables_number 1
_cell_length_a 4.558
_cell_length_b 4.558
_cell_length_c 4.558
_cell_angle_alpha 60.00
_cell_angle_beta 60.00
_cell_angle_gamma 60.00
loop_
_symmetry_equiv_pos_as_xyz
'x,y,z'
loop_
_atom_site_label
_atom_site_type_symbol
_atom_site_fract_x
_atom_site_fract_y
_atom_site_fract_z
_atom_site_occupancy
Ni1 Ni 0.750 0.750 0.750 1
Ga1 Ga 0.500 0.500 0.500 1
Li1 Li 0.250 0.250 0.250 1
Ce1 Ce 0.000 0.000 0.000 1

[3]
# PBE Li2CeGaO4, relaxed
# - Formation energy (no corrections): -2202 meV per atom
# - Space-group type: I-4m2 (119)
data_Li2CeGaO4
_chemical_formula_sum 'Li2 Ce1 Ga1 O4'
_symmetry_space_group_name_H-M 'P 1'
_symmetry_Int_Tables_number 1
_cell_length_a 4.490
_cell_length_b 4.490
_cell_length_c 5.690
_cell_angle_alpha 113.22
_cell_angle_beta 113.22
_cell_angle_gamma 90.05
loop_
_symmetry_equiv_pos_as_xyz
'x,y,z'
loop_
_atom_site_label
_atom_site_type_symbol
_atom_site_fract_x
_atom_site_fract_y
_atom_site_fract_z
_atom_site_occupancy
Li1 Li 0.000 0.000 0.000 1
Li2 Li 0.250 0.750 0.500 1
Ce1 Ce 0.500 0.500 0.000 1
O1 O 0.526 0.026 0.052 1
O2 O 0.749 0.749 0.498 1
O3 O 0.974 0.474 0.948 1
O4 O 0.251 0.251 0.502 1
Ga1 Ga 0.750 0.250 0.500 1

[4]
# PBE LiCe2GaO, relaxed
# - Formation energy (no corrections): -1321 meV per atom
# - Space-group type: P4/mmm (123)
data_LiCe2GaO
_chemical_formula_sum 'Li1 Ce2 Ga1 O1'
_symmetry_space_group_name_H-M 'P 1'
_symmetry_Int_Tables_number 1
_cell_length_a 4.168
_cell_length_b 4.837
_cell_length_c 4.837
_cell_angle_alpha 90.00
_cell_angle_beta 90.00
_cell_angle_gamma 90.00
loop_
_symmetry_equiv_pos_as_xyz
'x,y,z'
loop_
_atom_site_label
_atom_site_type_symbol
_atom_site_fract_x
_atom_site_fract_y
_atom_site_fract_z
_atom_site_occupancy
Ga1 Ga 0.500 0.500 0.500 1
Ce1 Ce 0.000 0.500 0.000 1
Ce2 Ce 0.000 0.000 0.500 1
O1 O 0.000 0.000 0.000 1
Li1 Li 0.500 0.000 0.000 1

[5]
# PBE LiCeGaO4, relaxed
# - Formation energy (no corrections): -2482 meV per atom
# - Space-group type: Cmcm (63)
data_LiCeGaO4
_chemical_formula_sum 'Li2 Ce2 Ga2 O8'
_symmetry_space_group_name_H-M 'P 1'
_symmetry_Int_Tables_number 1
_cell_length_a 5.339
_cell_length_b 5.339
_cell_length_c 7.067
_cell_angle_alpha 90.00
_cell_angle_beta 90.00
_cell_angle_gamma 111.79
loop_
_symmetry_equiv_pos_as_xyz
'x,y,z'
loop_
_atom_site_label
_atom_site_type_symbol
_atom_site_fract_x
_atom_site_fract_y
_atom_site_fract_z
_atom_site_occupancy
O1 O 0.258 0.232 0.250 1
O2 O 0.232 0.258 0.750 1
O3 O 0.742 0.768 0.750 1
O4 O 0.744 0.256 0.976 1
O5 O 0.256 0.744 0.476 1
O6 O 0.744 0.256 0.524 1
O7 O 0.768 0.742 0.250 1
O8 O 0.256 0.744 0.024 1
Ga1 Ga 0.850 0.150 0.750 1
Ga2 Ga 0.150 0.850 0.250 1
Ce1 Ce 0.500 0.500 0.500 1
Ce2 Ce 0.500 0.500 0.000 1
Li1 Li 0.160 0.840 0.750 1
Li2 Li 0.840 0.160 0.250 1

[6]
# PBE LiCeGaOs, relaxed
# - Space-group type: F-43m (216)
# - E_form: -0.17 eV/atom
data_LiCeGaOs
_chemical_formula_sum 'Li1 Ce1 Ga1 Os1'
_symmetry_space_group_name_H-M 'P 1'
_symmetry_Int_Tables_number 1
_cell_length_a 4.641
_cell_length_b 4.641
_cell_length_c 4.641
_cell_angle_alpha 60.00
_cell_angle_beta 60.00
_cell_angle_gamma 60.00
loop_
_symmetry_equiv_pos_as_xyz
'x,y,z'
loop_
_atom_site_label
_atom_site_type_symbol
_atom_site_fract_x
_atom_site_fract_y
_atom_site_fract_z
_atom_site_occupancy
Li1 Li 0.500 0.500 0.500 1
Os1 Os 0.000 0.000 0.000 1
Ce1 Ce 0.750 0.750 0.750 1
Ga1 Ga 0.250 0.250 0.250 1

[7]
# PBE LiCeGaPb, relaxed
# - Space-group type: F-43m (216)
# - E_form: -0.33 eV/atom
data_LiCeGaPb
_chemical_formula_sum 'Li1 Ce1 Ga1 Pb1'
_symmetry_space_group_name_H-M 'P 1'
_symmetry_Int_Tables_number 1
_cell_length_a 5.145
_cell_length_b 5.145
_cell_length_c 5.145
_cell_angle_alpha 60.00
_cell_angle_beta 60.00
_cell_angle_gamma 60.00
loop_
_symmetry_equiv_pos_as_xyz
'x,y,z'
loop_
_atom_site_label
_atom_site_type_symbol
_atom_site_fract_x
_atom_site_fract_y
_atom_site_fract_z
_atom_site_occupancy
Pb1 Pb 0.250 0.250 0.250 1
Ce1 Ce 0.500 0.500 0.500 1
Ga1 Ga 0.750 0.750 0.750 1
Li1 Li 0.000 0.000 0.000 1

[8]
# PBE LiCeGaPd, relaxed
# - Space-group type: F-43m (216)
# - E_form: -0.51 eV/atom
data_LiCeGaPd
_chemical_formula_sum 'Li1 Ce1 Ga1 Pd1'
_symmetry_space_group_name_H-M 'P 1'
_symmetry_Int_Tables_number 1
_cell_length_a 4.715
_cell_length_b 4.715
_cell_length_c 4.715
_cell_angle_alpha 60.00
_cell_angle_beta 60.00
_cell_angle_gamma 60.00
loop_
_symmetry_equiv_pos_as_xyz
'x,y,z'
loop_
_atom_site_label
_atom_site_type_symbol
_atom_site_fract_x
_atom_site_fract_y
_atom_site_fract_z
_atom_site_occupancy
Ga1 Ga 0.250 0.250 0.250 1
Pd1 Pd 0.000 0.000 0.000 1
Li1 Li 0.500 0.500 0.500 1
Ce1 Ce 0.750 0.750 0.750 1

[9]
# PBE LiCeGa2Pd5, relaxed
# - Space-group type: P4/mmm (123)
# - E_form: -0.62 eV/atom
data_LiCeGa2Pd5
_chemical_formula_sum 'Li1 Ce1 Ga2 Pd5'
_symmetry_space_group_name_H-M 'P 1'
_symmetry_Int_Tables_number 1
_cell_length_a 4.129
_cell_length_b 4.129
_cell_length_c 9.505
_cell_angle_alpha 90.00
_cell_angle_beta 90.00
_cell_angle_gamma 90.00
loop_
_symmetry_equiv_pos_as_xyz
'x,y,z'
loop_
_atom_site_label
_atom_site_type_symbol
_atom_site_fract_x
_atom_site_fract_y
_atom_site_fract_z
_atom_site_occupancy
Pd1 Pd 0.000 0.500 0.720 1
Pd2 Pd 0.500 0.000 0.720 1
Pd3 Pd 0.500 0.500 0.500 1
Pd4 Pd 0.500 0.000 0.280 1
Pd5 Pd 0.000 0.500 0.280 1
Ga1 Ga 0.500 0.500 0.130 1
Ga2 Ga 0.500 0.500 0.870 1
Ce1 Ce 0.000 0.000 0.500 1
Li1 Li 0.000 0.000 0.000 1

[10]
# PBE LiCeGa2Pd4, relaxed
# - Space-group type: R-3m (166)
# - E_form: -0.71 eV/atom
data_LiCeGa2Pd4
_chemical_formula_sum 'Li1 Ce1 Ga2 Pd4'
_symmetry_space_group_name_H-M 'P 1'
_symmetry_Int_Tables_number 1
_cell_length_a 4.311
_cell_length_b 4.311
_cell_length_c 8.794
_cell_angle_alpha 75.81
_cell_angle_beta 75.81
_cell_angle_gamma 60.00
loop_
_symmetry_equiv_pos_as_xyz
'x,y,z'
loop_
_atom_site_label
_atom_site_type_symbol
_atom_site_fract_x
_atom_site_fract_y
_atom_site_fract_z
_atom_site_occupancy
Ce1 Ce 0.000 0.000 0.000 1
Pd1 Pd 0.131 0.131 0.606 1
Pd2 Pd 0.869 0.869 0.394 1
Pd3 Pd 0.599 0.599 0.204 1
Pd4 Pd 0.401 0.401 0.796 1
Ga1 Ga 0.236 0.236 0.291 1
Ga2 Ga 0.764 0.764 0.709 1
Li1 Li 0.500 0.500 0.500 1

[11]
# PBE LiCeGa2Pd2, relaxed
# - Space-group type: P-3m1 (164)
# - E_form: -0.67 eV/atom
data_LiCeGa2Pd2
_chemical_formula_sum 'Li1 Ce1 Ga2 Pd2'
_symmetry_space_group_name_H-M 'P 1'
_symmetry_Int_Tables_number 1
_cell_length_a 4.426
_cell_length_b 4.426
_cell_length_c 6.539
_cell_angle_alpha 90.00
_cell_angle_beta 90.00
_cell_angle_gamma 120.00
loop_
_symmetry_equiv_pos_as_xyz
'x,y,z'
loop_
_atom_site_label
_atom_site_type_symbol
_atom_site_fract_x
_atom_site_fract_y
_atom_site_fract_z
_atom_site_occupancy
Ga1 Ga 0.667 0.333 0.691 1
Ga2 Ga 0.333 0.667 0.309 1
Pd1 Pd 0.667 0.333 0.291 1
Pd2 Pd 0.333 0.667 0.709 1
Ce1 Ce 0.000 0.000 0.000 1
Li1 Li 0.000 0.000 0.500 1

[12]
# PBE LiCeGa4Pd2, relaxed
# - Space-group type: R-3m (166)
# - E_form: -0.61 eV/atom
data_LiCeGa4Pd2
_chemical_formula_sum 'Li1 Ce1 Ga4 Pd2'
_symmetry_space_group_name_H-M 'P 1'
_symmetry_Int_Tables_number 1
_cell_length_a 4.334
_cell_length_b 4.334
_cell_length_c 8.932
_cell_angle_alpha 75.96
_cell_angle_beta 75.96
_cell_angle_gamma 60.00
loop_
_symmetry_equiv_pos_as_xyz
'x,y,z'
loop_
_atom_site_label
_atom_site_type_symbol
_atom_site_fract_x
_atom_site_fract_y
_atom_site_fract_z
_atom_site_occupancy
Ce1 Ce 0.000 0.000 0.000 1
Pd1 Pd 0.233 0.233 0.301 1
Pd2 Pd 0.767 0.767 0.699 1
Ga1 Ga 0.872 0.872 0.383 1
Ga2 Ga 0.398 0.398 0.805 1
Ga3 Ga 0.128 0.128 0.617 1
Ga4 Ga 0.602 0.602 0.195 1
Li1 Li 0.500 0.500 0.500 1